# CaAl2Zn8Ag PBE relaxed
# - Magnetization: 0.0 μB/f.u.
# - Energy of formation: -0.02 eV per atom
# - Total DFT energy (no corrections): -1.899 eV per atom
# - Crystal system: monoclinic
# - V: 17.8 A^3/atom
data_CaAl2Zn8Ag
_cell_length_a 8.1598
_cell_length_b 5.1787
_cell_length_c 10.2035
_cell_angle_alpha 90.00
_cell_angle_beta 97.28
_cell_angle_gamma 90.00
_space_group_name_H-M_alt 'C 1 2/m 1'
_space_group_IT_number 12
_space_group_name_Hall '-C 2y'
loop_
_atom_site_label
_atom_site_type_symbol
_atom_site_fract_x
_atom_site_fract_y
_atom_site_fract_z
Ca1 Ca 0.0000 0.0000 0.0000
Al1 Al 0.1553 0.5000 0.8293
Zn1 Zn 0.1110 0.2468 0.2986
Zn2 Zn 0.1625 0.5000 0.5311
Zn3 Zn 0.1709 0.5000 0.0966
Ag1 Ag 0.0000 0.0000 0.5000